Record 1
La3ZnFe: optimized geometry, PBE-GGA.

Lattice parameters (Å, degrees): 3.8447 8.5124 8.7068 91.37 89.95 102.82
Site moments in Bohr magnetons follow the coordinates.
Fractional coordinates of all 10 atoms:
Fe 0.1993 0.3658 0.7576  1.39
Fe 0.7562 0.4795 0.6645  1.39
La 0.5730 0.1257 0.6633  -0.11
La 0.7363 0.4299 0.0138  -0.09
La 0.3831 0.7200 0.7580  -0.11
La 0.2196 0.4163 0.4079  -0.09
La 0.0266 0.0202 0.0115  -0.05
La 0.9298 0.8259 0.4099  -0.05
Zn 0.5745 0.1190 0.2858  0.00
Zn 0.3819 0.7273 0.1356  0.00

Energy above the lowest structure with this stoichiometry = 0 meV per atom
Magnetization = 0.175 μB per atom
Theoretical density = 6.432 g/cm3

---

Record 2
La2ZnFe: optimized geometry, PBE-GGA.

Lattice parameters (Å, degrees): 3.6208 3.6208 7.4821 90.00 90.00 89.95
Site moments in Bohr magnetons follow the coordinates.
Fractional coordinates of all 4 atoms:
Zn 0.5000 0.5000 0.2500  0.01
La 0.0000 0.0000 0.5211  -0.20
La 0.0000 0.0000 0.9789  -0.20
Fe 0.5000 0.5000 0.7500  1.97

Magnetization = 0.319 μB per atom
Total DFT energy (no corrections) = -19.57 eV per formula unit
Theoretical density = 6.756 g/cm3

---

Record 3
LaZn2Fe: optimized geometry, PBE-GGA.

Lattice parameters (Å, degrees): 9.5478 9.5478 9.5478 18.41 18.41 18.41
Site moments in Bohr magnetons follow the coordinates.
Fractional coordinates of all 4 atoms:
La 0.7500 0.7500 0.7500  -0.42
Fe 0.2500 0.2500 0.2500  2.59
Zn 0.9841 0.9841 0.9841  -0.05
Zn 0.5159 0.5159 0.5159  -0.05

Magnetization = 0.442 μB per atom
Total DFT energy (no corrections) = -14.72 eV per formula unit
Theoretical density = 7.130 g/cm3

---

Record 4
LaZnFe: optimized geometry, PBE-GGA.

Lattice parameters (Å, degrees): 4.5168 4.5168 4.5168 60.00 60.00 60.00
Site moments in Bohr magnetons follow the coordinates.
Fractional coordinates of all 3 atoms:
La 0.0000 0.0000 0.0000  -0.09
Zn 0.5000 0.5000 0.5000  -0.05
Fe 0.7500 0.7500 0.7500  1.43

Magnetization = 0.381 μB per atom
Total DFT energy (no corrections) = -13.92 eV per formula unit
Theoretical density = 6.630 g/cm3

---

Record 5
La2ZnFe: optimized geometry, PBE-GGA.

Lattice parameters (Å, degrees): 4.9998 4.9998 4.9998 60.00 60.00 60.00
Site moments in Bohr magnetons follow the coordinates.
Fractional coordinates of all 4 atoms:
La 0.2500 0.2500 0.2500  0.22
La 0.0000 0.0000 0.0000  0.19
Zn 0.7500 0.7500 0.7500  0.01
Fe 0.5000 0.5000 0.5000  -2.36

Magnetization = 0.451 μB per atom
Total DFT energy (no corrections) = -18.94 eV per formula unit
Theoretical density = 7.498 g/cm3

---

Record 6
La8Zn2Fe: optimized geometry, PBE-GGA.

Lattice parameters (Å, degrees): 4.9789 9.0138 8.9368 120.29 106.17 90.00
Site moments in Bohr magnetons follow the coordinates.
Fractional coordinates of all 11 atoms:
La 0.0000 0.6609 0.0000  0.05
La 0.3452 0.1215 0.6904  0.02
La 0.0000 0.3391 0.0000  0.05
La 0.8754 0.8754 0.7508  0.15
La 0.6548 0.8785 0.3096  0.02
La 0.3452 0.5689 0.6904  0.02
La 0.1246 0.1246 0.2492  0.15
La 0.6548 0.4311 0.3096  0.02
Zn 0.7988 0.2988 0.5976  -0.01
Zn 0.2012 0.7012 0.4024  -0.01
Fe 0.5000 0.0000 0.0000  -2.29

Magnetization = 0.126 μB per atom
Total DFT energy (no corrections) = -50.13 eV per formula unit
Theoretical density = 6.574 g/cm3

---

Record 7
La2ZnFe: optimized geometry, PBE-GGA.

Lattice parameters (Å, degrees): 3.9578 3.9578 8.2350 76.15 76.15 59.82
Site moments in Bohr magnetons follow the coordinates.
Fractional coordinates of all 4 atoms:
La 0.5179 0.5179 0.4472  -0.03
La 0.9821 0.9821 0.0528  -0.03
Fe 0.2500 0.2500 0.2500  0.24
Zn 0.7500 0.7500 0.7500  0.00

Magnetization = 0.031 μB per atom
Total DFT energy (no corrections) = -19.04 eV per formula unit
Theoretical density = 6.183 g/cm3

---

Record 8
La2ZnFe: optimized geometry, PBE-GGA.

Lattice parameters (Å, degrees): 6.0940 6.0940 4.9012 66.25 66.25 35.24
Site moments in Bohr magnetons follow the coordinates.
Fractional coordinates of all 4 atoms:
Fe 0.2128 0.2128 0.2875  -2.30
La 0.9662 0.9662 0.0336  0.09
La 0.7696 0.7696 0.7305  0.17
Zn 0.5513 0.5513 0.4484  0.01

Magnetization = 0.454 μB per atom
Total DFT energy (no corrections) = -19.45 eV per formula unit
Theoretical density = 6.962 g/cm3

---

Record 9
LaZnFe2: optimized geometry, PBE-GGA.

Lattice parameters (Å, degrees): 5.2006 5.2006 2.9337 76.01 76.01 110.83
Site moments in Bohr magnetons follow the coordinates.
Fractional coordinates of all 4 atoms:
Fe 0.5000 0.5000 0.0000  2.00
Fe 0.0000 0.0000 0.0000  2.00
Zn 0.0000 0.5000 0.5000  -0.07
La 0.5000 0.0000 0.5000  -0.34

Magnetization = 0.826 μB per atom
Total DFT energy (no corrections) = -21.26 eV per formula unit
Theoretical density = 7.820 g/cm3

---

Record 10
LaZnFe2: optimized geometry, PBE-GGA.

Lattice parameters (Å, degrees): 4.3294 3.0078 5.8439 81.06 90.00 90.00
Site moments in Bohr magnetons follow the coordinates.
Fractional coordinates of all 4 atoms:
Fe 0.0000 0.5402 0.5896  2.50
Fe 0.0000 0.9598 0.9104  2.50
Zn 0.5000 0.7500 0.7500  -0.07
La 0.5000 0.2500 0.2500  -0.23

Magnetization = 1.147 μB per atom
Total DFT energy (no corrections) = -21.90 eV per formula unit
Theoretical density = 6.980 g/cm3

---

Record 11
LaZn2Fe: optimized geometry, PBE-GGA.

Lattice parameters (Å, degrees): 4.1419 3.8545 6.2539 51.94 90.00 90.00
Site moments in Bohr magnetons follow the coordinates.
Fractional coordinates of all 4 atoms:
Zn 0.0000 0.0000 0.0000  -0.01
Zn 0.5000 0.5000 0.0000  -0.01
La 0.0000 0.0000 0.5000  -0.22
Fe 0.5000 0.5000 0.5000  2.18

Magnetization = 0.428 μB per atom
Total DFT energy (no corrections) = -15.20 eV per formula unit
Theoretical density = 6.877 g/cm3

---

Record 12
LaZnFe2: optimized geometry, PBE-GGA.

Lattice parameters (Å, degrees): 4.0508 4.0508 5.8403 69.70 69.70 59.99
Site moments in Bohr magnetons follow the coordinates.
Fractional coordinates of all 4 atoms:
Zn 0.2963 0.2963 0.1112  -0.03
Fe 0.0203 0.0203 0.9393  1.60
Fe 0.6926 0.6926 0.9226  1.45
La 0.4908 0.4908 0.5268  -0.15

Magnetization = 0.652 μB per atom
Total DFT energy (no corrections) = -23.13 eV per formula unit
Theoretical density = 6.901 g/cm3